A PBEsol-optimized structure of HgOs2Au. Source: the Alexandria database, functional meta-GGA SCAN.

```
data_HgOs2Au
_symmetry_space_group_name_H-M 'P 4 m m'
_symmetry_Int_Tables_number 99
_cell_length_a 2.822
_cell_length_b 2.822
_cell_length_c 8.147
_cell_angle_alpha 90.00
_cell_angle_beta 90.00
_cell_angle_gamma 90.00
loop_
_symmetry_equiv_pos_as_xyz
'x,y,z'
'-y,x,z'
'-x,-y,z'
'y,-x,z'
'-x,y,z'
'y,x,z'
'x,-y,z'
'-y,-x,z'
loop_
_atom_site_label
_atom_site_type_symbol
_atom_site_fract_x
_atom_site_fract_y
_atom_site_fract_z
_atom_site_occupancy
Hg1 Hg 0.000 0.000 0.000 1
Os1 Os 0.000 0.000 0.465 1
Os2 Os 0.500 0.500 0.268 1
Au1 Au 0.500 0.500 0.720 1
```

Output
As for the volume: 65 Å³ per cell. Its formation energy is 147 kJ/mol of formula units.